1.
A relaxed structure of CaLuSb2. Source: Alexandria via LeMat-Bulk, functional PBE.

Calculated values
The calculation puts the raw total energy at -54.89 eV/cell. For the uncorrected formation energy, the calculation gives -85 kJ per mole of atoms. Its crystal system is trigonal.

Cell lengths 4.331, 4.331, 22.531 Å; angles 90.00, 90.00, 120.00 degrees
Atoms (fractional coordinates):
Ca  0.000  0.000  0.000
Ca  0.333  0.667  0.667
Ca  0.667  0.333  0.333
Lu  0.000  0.000  0.500
Lu  0.333  0.667  0.167
Lu  0.667  0.333  0.833
Sb  0.000  0.000  0.244
Sb  0.000  0.000  0.756
Sb  0.333  0.667  0.422
Sb  0.333  0.667  0.911
Sb  0.667  0.333  0.089
Sb  0.667  0.333  0.578


2.
A relaxed structure of CaLu2Sc. Source: Alexandria via LeMat-Bulk, functional PBE.

Calculated values
The calculation puts the raw total energy at -66.06 eV/cell. Its formation energy is 0.215 eV per atom. The offset from the most stable computed form is 0.127 eV per atom. Its crystal system is cubic.

Cell lengths 7.841, 7.841, 7.841 Å; angles 90.00, 90.00, 90.00 degrees
Atoms (fractional coordinates):
Ca  0.000  0.000  0.000
Ca  0.000  0.500  0.500
Ca  0.500  0.000  0.500
Ca  0.500  0.500  0.000
Lu  0.250  0.250  0.250
Lu  0.250  0.250  0.750
Lu  0.250  0.750  0.250
Lu  0.250  0.750  0.750
Lu  0.750  0.250  0.250
Lu  0.750  0.250  0.750
Lu  0.750  0.750  0.250
Lu  0.750  0.750  0.750
Sc  0.000  0.000  0.500
Sc  0.000  0.500  0.000
Sc  0.500  0.000  0.000
Sc  0.500  0.500  0.500


3.
A relaxed structure of CaLu2Sc. Source: Alexandria via LeMat-Bulk, functional PBE.

Calculated values
The calculation puts the raw total energy at -16.56 eV/cell. Its formation energy is 0.203 eV per atom. The offset from the most stable computed form is 0.115 eV per atom. Its crystal system is tetragonal.

Cell lengths 4.951, 4.951, 4.940 Å; angles 90.00, 90.00, 90.00 degrees
Atoms (fractional coordinates):
Ca  0.000  0.000  0.000
Lu  0.000  0.500  0.500
Lu  0.500  0.000  0.500
Sc  0.500  0.500  0.000


4.
A relaxed structure of CaLu2Sc. Source: Alexandria via LeMat-Bulk, functional PBE.

Calculated values
The calculation puts the raw total energy at -49.75 eV/cell. Its formation energy is 0.198 eV per atom. The offset from the most stable computed form is 0.110 eV per atom. Its crystal system is trigonal.

Cell lengths 3.440, 3.440, 35.998 Å; angles 90.00, 90.00, 120.00 degrees
Atoms (fractional coordinates):
Ca  0.000  0.000  0.000
Ca  0.333  0.667  0.667
Ca  0.667  0.333  0.333
Lu  0.000  0.000  0.094
Lu  0.000  0.000  0.906
Lu  0.333  0.667  0.573
Lu  0.333  0.667  0.760
Lu  0.667  0.333  0.240
Lu  0.667  0.333  0.427
Sc  0.000  0.000  0.500
Sc  0.333  0.667  0.167
Sc  0.667  0.333  0.833


5.
A relaxed structure of CaLu2Sc. Source: Alexandria via LeMat-Bulk, functional PBE.

Calculated values
The calculation puts the raw total energy at -17.02 eV/cell. Its formation energy is 0.088 eV per atom. The offset from the most stable computed form is 0.000 eV per atom. Its crystal system is tetragonal.

Cell lengths 3.767, 3.767, 8.835 Å; angles 90.00, 90.00, 90.00 degrees
Atoms (fractional coordinates):
Ca  0.000  0.000  0.000
Lu  0.500  0.500  0.298
Lu  0.500  0.500  0.702
Sc  0.000  0.000  0.500


6.
A relaxed structure of CaSmLuSc. Source: Alexandria via LeMat-Bulk, functional PBE.

Calculated values
The calculation puts the raw total energy at -67.52 eV/cell. Its formation energy is 0.173 eV per atom. Its crystal system is cubic.

Cell lengths 7.926, 7.926, 7.926 Å; angles 90.00, 90.00, 90.00 degrees
Atoms (fractional coordinates):
Ca  0.000  0.000  0.000
Ca  0.000  0.500  0.500
Ca  0.500  0.000  0.500
Ca  0.500  0.500  0.000
Sm  0.250  0.250  0.250
Sm  0.250  0.750  0.750
Sm  0.750  0.250  0.750
Sm  0.750  0.750  0.250
Lu  0.250  0.250  0.750
Lu  0.250  0.750  0.250
Lu  0.750  0.250  0.250
Lu  0.750  0.750  0.750
Sc  0.000  0.000  0.500
Sc  0.000  0.500  0.000
Sc  0.500  0.000  0.000
Sc  0.500  0.500  0.500


7.
A relaxed structure of CaTbLuSc. Source: Alexandria via LeMat-Bulk, functional PBE.

Calculated values
The calculation puts the raw total energy at -66.92 eV/cell. Its formation energy is 0.189 eV per atom. Its crystal system is cubic.

Cell lengths 7.889, 7.889, 7.889 Å; angles 90.00, 90.00, 90.00 degrees
Atoms (fractional coordinates):
Ca  0.000  0.000  0.000
Ca  0.000  0.500  0.500
Ca  0.500  0.000  0.500
Ca  0.500  0.500  0.000
Tb  0.250  0.250  0.250
Tb  0.250  0.750  0.750
Tb  0.750  0.250  0.750
Tb  0.750  0.750  0.250
Lu  0.250  0.250  0.750
Lu  0.250  0.750  0.250
Lu  0.750  0.250  0.250
Lu  0.750  0.750  0.750
Sc  0.000  0.000  0.500
Sc  0.000  0.500  0.000
Sc  0.500  0.000  0.000
Sc  0.500  0.500  0.500


8.
A relaxed structure of CaYLuSc. Source: Alexandria via LeMat-Bulk, functional PBE.

Calculated values
The calculation puts the raw total energy at -74.17 eV/cell. Its formation energy is 0.194 eV per atom. Its crystal system is cubic.

Cell lengths 7.905, 7.905, 7.905 Å; angles 90.00, 90.00, 90.00 degrees
Atoms (fractional coordinates):
Ca  0.000  0.000  0.000
Ca  0.000  0.500  0.500
Ca  0.500  0.000  0.500
Ca  0.500  0.500  0.000
Y  0.250  0.250  0.750
Y  0.250  0.750  0.250
Y  0.750  0.250  0.250
Y  0.750  0.750  0.750
Lu  0.250  0.250  0.250
Lu  0.250  0.750  0.750
Lu  0.750  0.250  0.750
Lu  0.750  0.750  0.250
Sc  0.000  0.000  0.500
Sc  0.000  0.500  0.000
Sc  0.500  0.000  0.000
Sc  0.500  0.500  0.500


9.
A relaxed structure of CaLuSe2. Source: Alexandria via LeMat-Bulk, functional PBE.

Calculated values
The calculation puts the raw total energy at -62.14 eV/cell. For the uncorrected formation energy, the calculation gives -174 kJ per mole of atoms. Its crystal system is trigonal.

Cell lengths 4.059, 4.059, 20.245 Å; angles 90.00, 90.00, 120.00 degrees
Atoms (fractional coordinates):
Ca  0.000  0.000  0.000
Ca  0.333  0.667  0.667
Ca  0.667  0.333  0.333
Lu  0.000  0.000  0.500
Lu  0.333  0.667  0.167
Lu  0.667  0.333  0.833
Se  0.000  0.000  0.246
Se  0.000  0.000  0.754
Se  0.333  0.667  0.421
Se  0.333  0.667  0.913
Se  0.667  0.333  0.087
Se  0.667  0.333  0.579


10.
A relaxed structure of CaLu2Se. Source: Alexandria via LeMat-Bulk, functional PBE.

Calculated values
The calculation puts the raw total energy at -50.08 eV/cell. For the uncorrected formation energy, the calculation gives -52 kJ per mole of atoms. Its crystal system is trigonal.

Cell lengths 3.691, 3.691, 31.035 Å; angles 90.00, 90.00, 120.00 degrees
Atoms (fractional coordinates):
Ca  0.000  0.000  0.000
Ca  0.333  0.667  0.667
Ca  0.667  0.333  0.333
Lu  0.000  0.000  0.109
Lu  0.000  0.000  0.891
Lu  0.333  0.667  0.558
Lu  0.333  0.667  0.776
Lu  0.667  0.333  0.224
Lu  0.667  0.333  0.442
Se  0.000  0.000  0.500
Se  0.333  0.667  0.167
Se  0.667  0.333  0.833


11.
A relaxed structure of CaLuZnSi. Source: Alexandria via LeMat-Bulk, functional PBE.

Calculated values
The calculation puts the raw total energy at -58.31 eV/cell. For the uncorrected formation energy, the calculation gives -33 kJ per mole of atoms. Its crystal system is cubic.

Cell lengths 7.038, 7.038, 7.038 Å; angles 90.00, 90.00, 90.00 degrees
Atoms (fractional coordinates):
Ca  0.000  0.000  0.000
Ca  0.000  0.500  0.500
Ca  0.500  0.000  0.500
Ca  0.500  0.500  0.000
Lu  0.000  0.000  0.500
Lu  0.000  0.500  0.000
Lu  0.500  0.000  0.000
Lu  0.500  0.500  0.500
Zn  0.250  0.250  0.250
Zn  0.250  0.750  0.750
Zn  0.750  0.250  0.750
Zn  0.750  0.750  0.250
Si  0.250  0.250  0.750
Si  0.250  0.750  0.250
Si  0.750  0.250  0.250
Si  0.750  0.750  0.750


12.
A relaxed structure of CaSmLu2. Source: Alexandria via LeMat-Bulk, functional PBE.

Calculated values
The calculation puts the raw total energy at -15.16 eV/cell. Its formation energy is 0.150 eV per atom. The offset from the most stable computed form is 0.062 eV per atom. Its crystal system is tetragonal.

Cell lengths 5.050, 5.050, 5.109 Å; angles 90.00, 90.00, 90.00 degrees
Atoms (fractional coordinates):
Ca  0.000  0.000  0.000
Sm  0.500  0.500  0.000
Lu  0.000  0.500  0.500
Lu  0.500  0.000  0.500


13.
A relaxed structure of CaSmLu. Source: Alexandria via LeMat-Bulk, functional PBE.

Calculated values
The calculation puts the raw total energy at -11.01 eV/cell. Its formation energy is 0.079 eV per atom. The offset from the most stable computed form is 0.007 eV per atom. Its crystal system is trigonal.

Cell lengths 3.611, 3.611, 9.075 Å; angles 90.00, 90.00, 120.00 degrees
Atoms (fractional coordinates):
Ca  0.000  0.000  0.000
Sm  0.333  0.667  0.642
Lu  0.667  0.333  0.340


14.
A relaxed structure of Ca2SmLu. Source: Alexandria via LeMat-Bulk, functional PBE.

Calculated values
The calculation puts the raw total energy at -12.51 eV/cell. Its formation energy is 0.182 eV per atom. The offset from the most stable computed form is 0.000 eV per atom. Its crystal system is tetragonal.

Cell lengths 5.091, 5.091, 5.510 Å; angles 90.00, 90.00, 90.00 degrees
Atoms (fractional coordinates):
Ca  0.000  0.500  0.000
Ca  0.500  0.000  0.000
Sm  0.000  0.000  0.500
Lu  0.500  0.500  0.500


15.
A relaxed structure of Ca2SmLu. Source: Alexandria via LeMat-Bulk, functional PBE.

Calculated values
The calculation puts the raw total energy at -12.48 eV/cell. Its formation energy is 0.191 eV per atom. The offset from the most stable computed form is 0.008 eV per atom. Its crystal system is tetragonal.

Cell lengths 4.118, 4.118, 8.330 Å; angles 90.00, 90.00, 90.00 degrees
Atoms (fractional coordinates):
Ca  0.000  0.000  0.243
Ca  0.000  0.000  0.757
Sm  0.500  0.500  0.500
Lu  0.500  0.500  0.000